LaCuGeTeS2, relaxed, DFT PBE; final energy = -0.3632 Ry per atom; space-group type = Cmcm
1.0
4.447 3.676 3.775
-4.986 0.167 -4.759
-7.811 1.009 8.219
S La Cu Te Ge
4 2 2 2 2
direct
0.131 0.869 0.595
0.869 0.131 0.405
0.869 0.131 0.095
0.131 0.869 0.905
0.500 0.500 0.500
0.500 0.500 0.000
0.018 0.982 0.750
0.982 0.018 0.250
0.616 0.384 0.250
0.384 0.616 0.750
0.700 0.300 0.750
0.300 0.700 0.250